Here is a relaxed structure of Ca4PuAu5 from Alexandria via LeMat-Bulk. Energies are from PBE.

Cell and atoms, written as POSCAR:
```
Ca4PuAu5
1.0
-1.541 2.706 1.884
-3.080 -1.924 0.244
5.890 -7.462 15.538
Ca Au Pu
4 5 1
Direct
0.000 0.000 0.401
0.000 0.000 0.798
0.000 0.000 0.599
0.000 0.000 0.202
0.500 0.500 0.302
0.500 0.500 0.500
0.500 0.500 0.100
0.500 0.500 0.900
0.500 0.500 0.698
0.000 0.000 0.000
```

Output
* ΔE_f: -0.708 eV per atom
* N(E_F): 15.37 states/eV per cell
* magnetic moment: 5.87 μB/f.u.
* ρ: 9.56 g/cm³

Here is a relaxed structure of Pm5Pt4O from Alexandria via LeMat-Bulk. Energies are from PBE.

Cell and atoms, written as POSCAR:
```
Pm5Pt4O
1.0
-4.847 1.581 -2.863
0.401 -0.650 -7.010
-4.637 -5.218 -1.001
Pt Pm O
4 5 1
Direct
0.588 0.603 0.221
0.413 0.397 0.779
0.191 0.221 0.397
0.810 0.779 0.603
0.897 0.377 0.829
0.453 0.000 0.000
0.103 0.623 0.171
0.274 0.829 0.623
0.726 0.171 0.377
0.055 0.000 0.000
```

Output
* N(E_F): 6.16 states/eV per cell
* formation energy (no corrections): -1349 meV/atom
* magnetic moment: 0.00 μB/f.u.
* ρ: 10.49 g/cm³

Here is a relaxed structure of Dy5Ru2Se2 from Alexandria via LeMat-Bulk. Energies are from PBE.

Cell and atoms, written as POSCAR:
```
Dy5Ru2Se2
1.0
7.147 0.000 2.594
0.000 7.549 0.000
1.004 0.000 8.376
Se Dy Ru
4 10 4
Direct
0.792 0.000 0.417
0.208 0.000 0.583
0.292 0.500 0.417
0.708 0.500 0.583
0.000 0.000 0.000
0.711 0.340 0.249
0.500 0.500 0.000
0.289 0.660 0.751
0.460 0.160 0.751
0.211 0.160 0.249
0.540 0.840 0.249
0.960 0.340 0.751
0.040 0.660 0.249
0.789 0.840 0.751
0.364 0.867 0.000
0.136 0.367 0.000
0.636 0.133 0.000
0.864 0.633 0.000
```

Output
* N(E_F): 9.34 states/eV per cell
* formation energy (no corrections): -945 meV/atom
* magnetic moment: 0.00 μB/f.u.
* ρ: 9.01 g/cm³

Here is a relaxed structure of MgBr4 from Alexandria via LeMat-Bulk. Energies are from PBE.

Cell and atoms, written as POSCAR:
```
MgBr4
1.0
0.361 -1.178 6.115
-6.216 0.516 -0.085
2.565 -4.174 -3.861
Br Mg
4 1
Direct
0.250 0.750 0.500
0.284 0.284 0.000
0.716 0.716 0.000
0.750 0.250 0.500
0.000 0.000 0.000
```

Output
* N(E_F): 5.63 states/eV per cell
* formation energy (no corrections): -285 meV/atom
* magnetic moment: 0.00 μB/f.u.
* ρ: 3.20 g/cm³

Here is a relaxed structure of Li2LaAsPd2 from Alexandria via LeMat-Bulk. Energies are from PBE.

Cell and atoms, written as POSCAR:
```
Li2LaAsPd2
1.0
4.499 0.000 0.000
0.000 4.499 0.000
0.000 0.000 5.877
Li Pd As La
2 2 1 1
Direct
0.500 0.000 0.000
0.000 0.500 0.000
0.500 0.500 0.730
0.500 0.500 0.270
0.000 0.000 0.000
0.000 0.000 0.500
```

Output
* ΔE_f: -0.482 eV per atom
* N(E_F): 1.20 states/eV per cell
* magnetic moment: 0.00 μB/f.u.
* ρ: 6.15 g/cm³

Here is a relaxed structure of MgAsNF2 from Alexandria via LeMat-Bulk. Energies are from PBE.

Cell and atoms, written as POSCAR:
```
MgAsNF2
1.0
-3.184 2.056 -1.813
-2.718 -2.011 2.493
0.341 2.966 2.764
As F N Mg
1 2 1 1
Direct
0.000 0.000 0.000
0.500 0.000 0.000
0.000 0.500 0.000
0.000 0.000 0.500
0.500 0.500 0.500
```

Output
* N(E_F): 0.72 states/eV per cell
* relative energy among the computed polymorphs: 1.775 eV per formula unit
* formation energy (no corrections): -654 meV/atom
* magnetic moment: 0.00 μB/f.u.
* ρ: 3.50 g/cm³